A relaxed structure of LiMgRe, computed with GGA-PBE.

Properties
- density of states at the Fermi level (states/eV per atom) = 0.4094
- volume (Å³/cell) = 105.4
- energy above the lowest structure with this stoichiometry (eV per formula unit) = 0.00
- formation energy from the elements (meV/atom) = 53
- spin magnetization (μB/f.u.) = 0.00

Geometry as CIF:
```
data_LiMgRe
_chemical_formula_sum 'Li2 Mg2 Re2'
_cell_length_a 3.0888
_cell_length_b 3.0888
_cell_length_c 11.0487
_cell_angle_alpha 90.00
_cell_angle_beta 90.00
_cell_angle_gamma 90.00
_space_group_name_H-M_alt 'P 1'
_space_group_IT_number 1
_space_group_name_Hall 'P 1'
loop_
_atom_site_label
_atom_site_fract_x
_atom_site_fract_y
_atom_site_fract_z
Li1 0.2500 0.2500 0.0873
Li2 0.7500 0.7500 0.9127
Mg1 0.2500 0.2500 0.7302
Mg2 0.7500 0.7500 0.2698
Re1 0.2500 0.2500 0.4375
Re2 0.7500 0.7500 0.5625
```